1.
Entry from the Alexandria database: a relaxed Cs2PaS2Cl4 crystal (PBE).

Structure (CIF):
```
data_Cs2PaS2Cl4
_chemical_formula_sum 'Cs4 Pa2 S4 Cl8'
_symmetry_space_group_name_H-M 'C 1 2/m 1'
_symmetry_Int_Tables_number 12
_cell_length_a 12.9155
_cell_length_b 7.6176
_cell_length_c 6.4820
_cell_angle_alpha 90.00
_cell_angle_beta 92.95
_cell_angle_gamma 90.00
loop_
_symmetry_equiv_pos_as_xyz
'x,y,z'
'-x,-y,-z'
'-x,y,-z'
'x,-y,z'
'x+1/2,y+1/2,z'
'-x+1/2,-y+1/2,-z'
'-x+1/2,y+1/2,-z'
'x+1/2,-y+1/2,z'
loop_
_atom_site_label
_atom_site_type_symbol
_atom_site_fract_x
_atom_site_fract_y
_atom_site_fract_z
Cs1 Cs 0.1608 0.0000 0.2378
Pa1 Pa 0.0000 0.5000 0.5000
S1 S 0.1547 0.5000 0.2998
Cl1 Cl 0.0858 0.2507 0.7378
```

---

2.
Entry from the Alexandria database: a relaxed Cs3Pa2S5Cl2 crystal (PBE).

Structure (CIF):
```
data_Cs3Pa2S5Cl2
_chemical_formula_sum 'Cs6 Pa4 S10 Cl4'
_symmetry_space_group_name_H-M 'I 4/m m m'
_symmetry_Int_Tables_number 139
_symmetry_space_group_name_Hall '-I 4 2'
_cell_length_a 5.3314
_cell_length_b 5.3314
_cell_length_c 28.5039
_cell_angle_alpha 90.00
_cell_angle_beta 90.00
_cell_angle_gamma 90.00
loop_
_atom_site_label
_atom_site_type_symbol
_atom_site_fract_x
_atom_site_fract_y
_atom_site_fract_z
Cs1 Cs 0.0000 0.0000 0.0000
Cs2 Cs 0.0000 0.0000 0.1824
Pa1 Pa 0.0000 0.0000 0.4073
S1 S 0.0000 0.0000 0.5000
S2 S 0.0000 0.5000 0.0964
Cl1 Cl 0.0000 0.0000 0.3093
```

---

3.
Entry from the Alexandria database: a relaxed Cs2Pa3Se8Cl crystal (PBE).

Structure (CIF):
```
data_Cs2Pa3Se8Cl
_chemical_formula_sum 'Cs6 Pa9 Se24 Cl3'
_symmetry_space_group_name_H-M 'R 3 m'
_symmetry_Int_Tables_number 160
_symmetry_space_group_name_Hall 'R 3 -2"'
_cell_length_a 8.3691
_cell_length_b 8.3691
_cell_length_c 27.5299
_cell_angle_alpha 90.00
_cell_angle_beta 90.00
_cell_angle_gamma 120.00
loop_
_atom_site_label
_atom_site_type_symbol
_atom_site_fract_x
_atom_site_fract_y
_atom_site_fract_z
Cs1 Cs 0.0000 0.0000 0.0000
Cs2 Cs 0.0000 0.0000 0.3572
Pa1 Pa 0.1690 0.3379 0.1890
Se1 Se 0.0000 0.0000 0.1334
Se2 Se 0.0000 0.0000 0.5780
Se3 Se 0.0211 0.5105 0.1364
Se4 Se 0.1799 0.3599 0.9095
Cl1 Cl 0.0000 0.0000 0.6887
```

---

4.
Entry from the Alexandria database: a relaxed CsPaTe2Cl crystal (PBE).

Structure (CIF):
```
data_CsPaTe2Cl
_chemical_formula_sum 'Cs2 Pa2 Te4 Cl2'
_symmetry_space_group_name_H-M 'P 1 21/m 1'
_symmetry_Int_Tables_number 11
_cell_length_a 9.8074
_cell_length_b 4.4809
_cell_length_c 10.3496
_cell_angle_alpha 90.00
_cell_angle_beta 105.94
_cell_angle_gamma 90.00
loop_
_symmetry_equiv_pos_as_xyz
'x,y,z'
'-x,-y,-z'
'-x,y+1/2,-z'
'x,-y+1/2,z'
loop_
_atom_site_label
_atom_site_type_symbol
_atom_site_fract_x
_atom_site_fract_y
_atom_site_fract_z
Cs1 Cs 0.2254 0.2500 0.3189
Pa1 Pa 0.3388 0.2500 0.8363
Te1 Te 0.3326 0.7500 0.0442
Te2 Te 0.3617 0.7500 0.6431
Cl1 Cl 0.0595 0.2500 0.7626
```

---

5.
Entry from the Alexandria database: a relaxed CsPaTl2Cl8 crystal (PBE).

Structure (CIF):
```
data_CsPaTl2Cl8
_chemical_formula_sum 'Cs1 Pa1 Tl2 Cl8'
_symmetry_space_group_name_H-M 'P -1'
_symmetry_Int_Tables_number 2
_cell_length_a 6.2673
_cell_length_b 7.8015
_cell_length_c 10.0882
_cell_angle_alpha 90.11
_cell_angle_beta 90.20
_cell_angle_gamma 103.00
loop_
_symmetry_equiv_pos_as_xyz
'x,y,z'
'-x,-y,-z'
loop_
_atom_site_label
_atom_site_type_symbol
_atom_site_fract_x
_atom_site_fract_y
_atom_site_fract_z
Cs1 Cs 0.0000 0.0000 0.0000
Pa1 Pa 0.0000 0.0000 0.5000
Tl1 Tl 0.4978 0.4994 0.7815
Cl1 Cl 0.0874 0.7963 0.3166
Cl2 Cl 0.0908 0.7979 0.6831
Cl3 Cl 0.3861 0.1917 0.4996
Cl4 Cl 0.4641 0.7358 0.0004
```

---

6.
Entry from the Alexandria database: a relaxed CsPbCl2 crystal (PBE).

Structure (CIF):
```
data_CsPbCl2
_chemical_formula_sum 'Cs3 Pb3 Cl6'
_symmetry_space_group_name_H-M 'R -3 m'
_symmetry_Int_Tables_number 166
_symmetry_space_group_name_Hall '-R 3 2"'
_cell_length_a 4.8705
_cell_length_b 4.8705
_cell_length_c 26.9069
_cell_angle_alpha 90.00
_cell_angle_beta 90.00
_cell_angle_gamma 120.00
loop_
_atom_site_label
_atom_site_type_symbol
_atom_site_fract_x
_atom_site_fract_y
_atom_site_fract_z
Cs1 Cs 0.0000 0.0000 0.0000
Pb1 Pb 0.0000 0.0000 0.5000
Cl1 Cl 0.0000 0.0000 0.1213
```

---

7.
Entry from the Alexandria database: a relaxed Cs3Pb2Cl8 crystal (PBE).

Structure (CIF):
```
data_Cs3Pb2Cl8
_chemical_formula_sum 'Cs9 Pb6 Cl24'
_symmetry_space_group_name_H-M 'R -3 m'
_symmetry_Int_Tables_number 166
_symmetry_space_group_name_Hall '-R 3 2"'
_cell_length_a 8.0405
_cell_length_b 8.0405
_cell_length_c 29.3761
_cell_angle_alpha 90.00
_cell_angle_beta 90.00
_cell_angle_gamma 120.00
loop_
_atom_site_label
_atom_site_type_symbol
_atom_site_fract_x
_atom_site_fract_y
_atom_site_fract_z
Cs1 Cs 0.0000 0.0000 0.0000
Cs2 Cs 0.0000 0.0000 0.2013
Pb1 Pb 0.0000 0.0000 0.4068
Cl1 Cl 0.0000 0.0000 0.3162
Cl2 Cl 0.0313 0.5157 0.7695
```

---

8.
Entry from the Alexandria database: a relaxed CsPb2Cl5 crystal (PBE).

Structure (CIF):
```
data_CsPb2Cl5
_chemical_formula_sum 'Cs4 Pb8 Cl20'
_symmetry_space_group_name_H-M 'I 4/m c m'
_symmetry_Int_Tables_number 140
_symmetry_space_group_name_Hall '-I 4 2c'
_cell_length_a 8.2169
_cell_length_b 8.2169
_cell_length_c 15.3639
_cell_angle_alpha 90.00
_cell_angle_beta 90.00
_cell_angle_gamma 90.00
loop_
_atom_site_label
_atom_site_type_symbol
_atom_site_fract_x
_atom_site_fract_y
_atom_site_fract_z
Cs1 Cs 0.0000 0.0000 0.2500
Pb1 Pb 0.1684 0.3316 0.0000
Cl1 Cl 0.0000 0.0000 0.0000
Cl2 Cl 0.1541 0.3459 0.3784
```

---

Number 1: E_form (uncorrected) -14.58 eV/f.u., M_tot 1.102 μB/f.u.. Number 2: E_form (uncorrected) -20.43 eV/f.u., M_tot 1.081 μB/f.u.. Number 3: E_form (uncorrected) -18.44 eV/f.u., M_tot 0.000 μB/f.u.. Number 4: E_form (uncorrected) -6.40 eV/f.u., M_tot 1.002 μB/f.u.. Number 5: E_form (uncorrected) -19.38 eV/f.u., M_tot 0.000 μB/f.u.. Number 6: E_form (uncorrected) -3.83 eV/f.u., M_tot 0.000 μB/f.u.. Number 7: E_form (uncorrected) -18.22 eV/f.u., M_tot 0.014 μB/f.u.. Number 8: E_form (uncorrected) -11.13 eV/f.u., M_tot 0.000 μB/f.u..